Compound: ErCo4P4
Source: the Alexandria database
Functional: PBE-GGA
Structure: optimized geometry

VASP energy   -6.69 eV/atom

```
ErCo4P4
1.0
5.666 0.000 0.000
0.000 5.666 0.000
0.000 0.000 7.254
Er Co P
2 8 8
Cartesian
1.416 4.249 1.813 Er
4.249 1.416 5.440 Er
0.147 1.416 0.948 Co
1.416 0.147 4.575 Co
1.416 2.686 4.575 Co
2.686 1.416 0.948 Co
2.980 4.249 6.305 Co
4.249 2.980 2.678 Co
4.249 5.518 2.678 Co
5.518 4.249 6.305 Co
0.183 1.416 3.136 P
1.416 0.183 6.763 P
1.416 2.649 6.763 P
2.649 1.416 3.136 P
3.016 4.249 4.118 P
4.249 3.016 0.491 P
4.249 5.482 0.491 P
5.482 4.249 4.118 P
```

=====

Compound: ErPaCo2P2
Source: the Alexandria database
Functional: PBE-GGA
Structure: optimized geometry

VASP energy   -7.65 eV/atom

```
ErPaCo2P2
1.0
3.868 0.000 0.000
-1.934 3.350 0.000
0.000 0.000 7.605
Er Pa Co P
1 1 2 2
Cartesian
0.000 0.000 0.000 Er
0.000 0.000 3.803 Pa
0.000 2.233 2.122 Co
1.934 1.117 5.484 Co
0.000 2.233 5.817 P
1.934 1.117 1.788 P
```

=====

Compound: ErPuCo2P2
Source: the Alexandria database
Functional: PBE-GGA
Structure: optimized geometry

VASP energy   -8.29 eV/atom

```
ErPuCo2P2
1.0
3.852 0.000 0.000
-1.926 3.336 0.000
0.000 0.000 7.730
Er Pu Co P
1 1 2 2
Cartesian
0.000 0.000 0.000 Er
0.000 0.000 3.865 Pu
0.000 2.224 2.068 Co
1.926 1.112 5.662 Co
0.000 2.224 5.882 P
1.926 1.112 1.848 P
```

=====

Compound: Er2Co4P3Ru
Source: the Alexandria database
Functional: PBE-GGA
Structure: optimized geometry

VASP energy   -7.11 eV/atom

```
Er2Co4P3Ru
1.0
3.868 0.000 0.000
0.000 3.868 0.000
0.000 0.000 9.446
Er Co P Ru
2 4 3 1
Cartesian
0.000 1.934 2.278 Er
1.934 0.000 7.169 Er
0.000 0.000 0.000 Co
0.000 1.934 5.989 Co
1.934 0.000 3.457 Co
1.934 1.934 0.000 Co
0.000 1.934 8.221 P
1.934 0.000 1.225 P
1.934 1.934 4.723 P
0.000 0.000 4.723 Ru
```

=====

Compound: ErZn2Co2P
Source: the Alexandria database
Functional: PBE-GGA
Structure: optimized geometry

VASP energy   -4.83 eV/atom

```
ErZn2Co2P
1.0
4.186 0.000 0.000
0.000 4.186 0.000
0.000 0.000 5.453
Er Zn Co P
1 2 2 1
Cartesian
0.000 0.000 0.000 Er
2.093 2.093 1.240 Zn
2.093 2.093 4.213 Zn
0.000 2.093 2.726 Co
2.093 0.000 2.726 Co
0.000 0.000 2.726 P
```

=====

Compound: Er2PaCo4
Source: the Alexandria database
Functional: PBE-GGA
Structure: optimized geometry

VASP energy   -6.68 eV/atom

```
Er2PaCo4
1.0
-2.163 2.163 6.639
2.163 -2.163 6.639
2.163 2.163 -6.639
Er Pa Co
2 1 4
Cartesian
0.000 0.000 3.076 Er
0.000 0.000 10.202 Er
0.000 0.000 6.639 Pa
2.163 0.000 1.376 Co
2.163 0.000 5.264 Co
0.000 2.163 1.376 Co
0.000 2.163 5.264 Co
```

=====

Compound: ErPaCo10
Source: the Alexandria database
Functional: PBE-GGA
Structure: optimized geometry

VASP energy   -7.25 eV/atom

```
ErPaCo10
1.0
4.000 0.000 0.000
0.000 4.845 0.000
0.000 0.000 8.408
Er Pa Co
1 1 10
Cartesian
0.000 0.000 0.000 Er
0.000 2.422 4.204 Pa
0.000 0.000 2.865 Co
0.000 0.000 5.543 Co
0.000 2.422 1.563 Co
0.000 2.422 6.845 Co
2.000 0.000 4.204 Co
2.000 1.181 2.064 Co
2.000 1.181 6.344 Co
2.000 2.422 0.000 Co
2.000 3.663 2.064 Co
2.000 3.663 6.344 Co
```

=====

Compound: Er2Pa3Co4
Source: the Alexandria database
Functional: PBE-GGA
Structure: optimized geometry

VASP energy   -7.67 eV/atom

```
Er2Pa3Co4
1.0
7.746 0.000 0.000
0.000 7.144 0.000
-2.190 0.000 6.274
Er Pa Co
4 6 8
Cartesian
1.312 1.258 0.448 Er
0.217 2.314 3.585 Er
5.339 4.830 2.689 Er
4.245 5.886 5.826 Er
1.264 4.727 1.488 Pa
0.169 5.988 4.625 Pa
2.778 0.000 3.137 Pa
3.873 3.572 0.000 Pa
5.387 1.155 1.649 Pa
4.292 2.417 4.786 Pa
-1.283 3.976 5.394 Co
-0.188 6.739 2.257 Co
2.368 4.451 4.009 Co
3.463 6.264 0.872 Co
2.094 0.879 5.403 Co
3.189 2.693 2.266 Co
5.745 0.404 4.017 Co
6.839 3.167 0.880 Co
```

=====

Compound: ErPaCo2
Source: the Alexandria database
Functional: PBE-GGA
Structure: optimized geometry

VASP energy   -7.34 eV/atom
Offset from the most stable computed form   0.122 eV per atom

```
ErPaCo2
1.0
3.331 0.000 0.000
0.000 3.331 0.000
0.000 0.000 6.677
Er Pa Co
1 1 2
Cartesian
0.000 0.000 0.000 Er
0.000 0.000 3.339 Pa
1.666 1.666 1.978 Co
1.666 1.666 4.699 Co
```

=====

Compound: Er3Pa2Co4
Source: the Alexandria database
Functional: PBE-GGA
Structure: optimized geometry

VASP energy   -7.12 eV/atom

```
Er3Pa2Co4
1.0
5.578 -1.834 0.000
5.578 1.834 0.000
-1.656 0.000 8.845
Er Pa Co
3 2 4
Cartesian
0.000 0.000 0.000 Er
3.194 0.000 5.454 Er
6.305 0.000 3.391 Er
3.198 0.000 1.967 Pa
6.302 0.000 6.878 Pa
-0.142 0.000 5.444 Co
1.790 0.000 8.193 Co
7.710 0.000 0.653 Co
9.642 0.000 3.401 Co
```

=====

Compound: Er2PaCo
Source: the Alexandria database
Functional: PBE-GGA
Structure: optimized geometry

VASP energy   -6.15 eV/atom
Offset from the most stable computed form   0.466 eV per atom

```
Er2PaCo
1.0
1.638 0.945 10.262
-1.638 0.945 10.262
0.000 -1.891 10.262
Er Pa Co
2 1 1
Cartesian
0.000 0.000 3.261 Er
0.000 0.000 27.526 Er
0.000 0.000 0.000 Pa
0.000 0.000 15.393 Co
```

=====

Compound: Er2PaCo2
Source: the Alexandria database
Functional: PBE-GGA
Structure: optimized geometry

VASP energy   -6.94 eV/atom

```
Er2PaCo2
1.0
-1.792 3.017 4.761
1.792 -3.017 4.761
1.792 3.017 -4.761
Er Pa Co
2 1 2
Cartesian
0.000 0.000 1.838 Er
0.000 0.000 7.685 Er
0.000 3.017 0.000 Pa
1.792 1.294 0.000 Co
0.000 1.723 4.761 Co
```